Entry 1:
SrZrTc2 | PBE-GGA | optimized geometry

a = 3.3290 Å, b = 5.2094 Å, c = 9.1986 Å
α = 90.00°, β = 90.00°, γ = 90.00°
Last column: nearest neighbours and their distance in Å.
Space group Immm (No. 71)
Unique sites:
Sr1 0.0000 0.0000 0.0000 (multiplicity 2)  4 Tc 2.94, 4 Zr 3.09
Zr1 0.0000 0.0000 0.5000 (multiplicity 2)  4 Tc 2.74
Tc1 0.0000 0.5000 0.2362 (multiplicity 4)  2 Zr 2.74, 2 Sr 2.94

Values from the calculation:
Calculated total energy: -0.5162 Ry/atom
D(E_F): 7.815 states/eV per cell
Energy above the lowest structure with this stoichiometry: 412 meV per atom
Formation energy from the elements: 0.717 eV/atom


Entry 2:
SrZr3Tc | PBE-GGA | optimized geometry

a = 5.1829 Å, b = 5.1829 Å, c = 5.1829 Å
α = 90.00°, β = 90.00°, γ = 90.00°
Last column: nearest neighbours and their distance in Å.
Space group Pm-3m (No. 221)
Unique sites:
Sr1 0.0000 0.0000 0.0000 (multiplicity 1)  12 Zr 3.66
Zr1 0.0000 0.5000 0.5000 (multiplicity 3)  2 Tc 2.59
Tc1 0.5000 0.5000 0.5000 (multiplicity 1)  6 Zr 2.59

Values from the calculation:
Calculated total energy: -0.5306 Ry/atom
D(E_F): 11.860 states/eV per cell
Energy above the lowest structure with this stoichiometry: 0 meV per atom
Formation energy from the elements: 0.319 eV/atom


Entry 3:
Sr2ZrTc | PBE-GGA | optimized geometry

a = 4.3130 Å, b = 4.3130 Å, c = 11.0367 Å
α = 90.00°, β = 90.00°, γ = 90.00°
Last column: nearest neighbours and their distance in Å.
Space group I4/mmm (No. 139)
Unique sites:
Sr1 0.0000 0.5000 0.2500 (multiplicity 4)  4 Sr 3.05
Zr1 0.0000 0.0000 0.0000 (multiplicity 2)  4 Tc 3.05
Tc1 0.0000 0.0000 0.5000 (multiplicity 2)  4 Zr 3.05

Values from the calculation:
Calculated total energy: -0.3508 Ry/atom
D(E_F): 6.071 states/eV per cell
Energy above the lowest structure with this stoichiometry: 573 meV per atom
Formation energy from the elements: 0.796 eV/atom


Entry 4:
Sr2ZrTc | PBE-GGA | optimized geometry

a = 3.6541 Å, b = 5.9318 Å, c = 11.2990 Å
α = 90.00°, β = 90.00°, γ = 90.00°
Last column: nearest neighbours and their distance in Å.
Space group Imm2 (No. 44)
Unique sites:
Sr1 0.0000 0.0000 0.0000 (multiplicity 2)  2 Tc 3.26
Sr2 0.0000 0.5000 0.1941 (multiplicity 2)  4 Tc 3.52, 6 Sr 3.65-3.91, 4 Zr 3.69-3.91
Zr1 0.0000 0.0000 0.3884 (multiplicity 2)  2 Tc 2.49
Tc1 0.0000 0.5000 0.7386 (multiplicity 2)  2 Zr 2.49

Values from the calculation:
Calculated total energy: -0.3812 Ry/atom
D(E_F): 7.262 states/eV per cell
Energy above the lowest structure with this stoichiometry: 160 meV per atom
Formation energy from the elements: 0.383 eV/atom


Entry 5:
Sr2ZrTc | PBE-GGA | optimized geometry

a = 3.3751 Å, b = 3.3751 Å, c = 33.4975 Å
α = 90.00°, β = 90.00°, γ = 120.00°
Last column: nearest neighbours and their distance in Å.
Space group R-3m (No. 166, hexagonal axes)
Unique sites:
Sr1 0.0000 0.0000 0.2396 (multiplicity 6)  3 Tc 3.13, 6 Sr 3.38
Zr1 0.0000 0.0000 0.0000 (multiplicity 3)  6 Zr 3.38, 6 Sr 3.70
Tc1 0.0000 0.0000 0.5000 (multiplicity 3)  6 Sr 3.13, 6 Tc 3.38

Values from the calculation:
Calculated total energy: -0.3375 Ry/atom
D(E_F): 12.436 states/eV per cell
Energy above the lowest structure with this stoichiometry: 755 meV per atom
Formation energy from the elements: 0.978 eV/atom


Entry 6:
SrZrTc2 | PBE-GGA | optimized geometry

a = 3.3592 Å, b = 4.5863 Å, c = 5.0889 Å
α = 90.00°, β = 90.00°, γ = 90.00°
Last column: nearest neighbours and their distance in Å.
Space group Pmmm (No. 47)
Unique sites:
Sr1 0.0000 0.0000 0.0000 (multiplicity 1)  4 Tc 2.84, 4 Zr 3.05
Zr1 0.5000 0.0000 0.5000 (multiplicity 1)  4 Tc 2.84, 4 Sr 3.05
Tc1 0.0000 0.5000 0.5000 (multiplicity 1)  4 Zr 2.84, 4 Tc 3.05
Tc2 0.5000 0.5000 0.0000 (multiplicity 1)  4 Sr 2.84, 4 Tc 3.05

Values from the calculation:
Calculated total energy: -0.5090 Ry/atom
D(E_F): 3.950 states/eV per cell
Energy above the lowest structure with this stoichiometry: 511 meV per atom
Formation energy from the elements: 0.816 eV/atom


Entry 7:
SrZrTc2 | PBE-GGA | optimized geometry

a = 6.8370 Å, b = 6.8370 Å, c = 6.8370 Å
α = 90.00°, β = 90.00°, γ = 90.00°
Last column: nearest neighbours and their distance in Å.
Space group Fm-3m (No. 225)
Unique sites:
Sr1 0.0000 0.0000 0.0000 (multiplicity 4)  8 Tc 2.96
Zr1 0.0000 0.0000 0.5000 (multiplicity 4)  8 Tc 2.96
Tc1 0.2500 0.2500 0.2500 (multiplicity 8)  4 Zr 2.96, 4 Sr 2.96

Values from the calculation:
Calculated total energy: -0.5211 Ry/atom
D(E_F): 20.592 states/eV per cell
Energy above the lowest structure with this stoichiometry: 345 meV per atom
Formation energy from the elements: 0.650 eV/atom


Entry 8:
SrZrTc2 | PBE-GGA | optimized geometry

a = 3.2833 Å, b = 4.9925 Å, c = 10.3050 Å
α = 90.00°, β = 90.00°, γ = 90.00°
Last column: nearest neighbours and their distance in Å.
Space group Imm2 (No. 44)
Unique sites:
Sr1 0.0000 0.0000 0.0000 (multiplicity 2)  6 Tc 3.04-3.22, 2 Sr 3.28, 4 Zr 3.34-3.36
Zr1 0.0000 0.5000 0.2176 (multiplicity 2)  6 Tc 3.03-3.24, 2 Zr 3.28, 4 Sr 3.34-3.36
Tc1 0.0000 0.0000 0.4467 (multiplicity 2)  2 Tc 2.46
Tc2 0.0000 0.5000 0.7683 (multiplicity 2)  2 Tc 2.46

Values from the calculation:
Calculated total energy: -0.5335 Ry/atom
D(E_F): 9.676 states/eV per cell
Energy above the lowest structure with this stoichiometry: 177 meV per atom
Formation energy from the elements: 0.482 eV/atom


Entry 9:
SrZrTc2 | PBE-GGA | optimized geometry

a = 6.7699 Å, b = 6.7699 Å, c = 6.7699 Å
α = 90.00°, β = 90.00°, γ = 90.00°
Last column: nearest neighbours and their distance in Å.
Space group F-43m (No. 216)
Unique sites:
Sr1 0.0000 0.0000 0.0000 (multiplicity 4)  4 Zr 2.93, 4 Tc 2.93
Zr1 0.2500 0.2500 0.7500 (multiplicity 4)  4 Tc 2.93, 4 Sr 2.93
Tc1 0.0000 0.0000 0.5000 (multiplicity 4)  4 Tc 2.93, 4 Zr 2.93
Tc2 0.2500 0.2500 0.2500 (multiplicity 4)  4 Tc 2.93, 4 Sr 2.93

Values from the calculation:
Calculated total energy: -0.5159 Ry/atom
D(E_F): 23.475 states/eV per cell
Energy above the lowest structure with this stoichiometry: 417 meV per atom
Formation energy from the elements: 0.721 eV/atom


Entry 10:
SrZr2Tc | PBE-GGA | optimized geometry

a = 7.0792 Å, b = 7.0792 Å, c = 7.0792 Å
α = 90.00°, β = 90.00°, γ = 90.00°
Last column: nearest neighbours and their distance in Å.
Space group Fm-3m (No. 225)
Unique sites:
Sr1 0.0000 0.0000 0.0000 (multiplicity 4)  8 Zr 3.07
Zr1 0.2500 0.2500 0.2500 (multiplicity 8)  4 Tc 3.07, 4 Sr 3.07
Tc1 0.0000 0.0000 0.5000 (multiplicity 4)  8 Zr 3.07

Values from the calculation:
Calculated total energy: -0.4999 Ry/atom
D(E_F): 21.609 states/eV per cell
Energy above the lowest structure with this stoichiometry: 423 meV per atom
Formation energy from the elements: 0.484 eV/atom


Entry 11:
Sr2ZrTc | PBE-GGA | optimized geometry

a = 3.1648 Å, b = 5.3704 Å, c = 6.1485 Å
α = 90.00°, β = 90.00°, γ = 90.00°
Last column: nearest neighbours and their distance in Å.
Space group Pmmm (No. 47)
Unique sites:
Sr1 0.0000 0.0000 0.2394 (multiplicity 2)  4 Sr 2.94-3.20
Zr1 0.5000 0.5000 0.5000 (multiplicity 1)  2 Tc 3.07, 2 Zr 3.16
Tc1 0.5000 0.5000 0.0000 (multiplicity 1)  2 Zr 3.07, 2 Tc 3.16

Values from the calculation:
Calculated total energy: -0.3430 Ry/atom
D(E_F): 4.807 states/eV per cell
Energy above the lowest structure with this stoichiometry: 679 meV per atom
Formation energy from the elements: 0.903 eV/atom


Entry 12:
SrZr3Tc | PBE-GGA | optimized geometry

a = 4.9744 Å, b = 4.9744 Å, c = 4.9744 Å
α = 90.00°, β = 90.00°, γ = 90.00°
Last column: nearest neighbours and their distance in Å.
Space group Pm-3m (No. 221)
Unique sites:
Sr1 0.0000 0.0000 0.0000 (multiplicity 1)  6 Zr 2.49
Zr1 0.0000 0.0000 0.5000 (multiplicity 3)  2 Sr 2.49
Tc1 0.5000 0.5000 0.5000 (multiplicity 1)  12 Zr 3.52

Values from the calculation:
Calculated total energy: -0.3876 Ry/atom
D(E_F): 6.081 states/eV per cell
Energy above the lowest structure with this stoichiometry: 1946 meV per atom
Formation energy from the elements: 2.265 eV/atom